# Ag2IrPt (PBE, optimized geometry)
# - Formation energy: 0.378 eV/atom
# - Uncorrected energy: -4.77 eV/atom
# - D(E_F): 7.1 states/eV/f.u.
# - Space-group type: I4/mmm, No. 139
data_Ag2IrPt
_cell_length_a 5.122
_cell_length_b 5.122
_cell_length_c 5.122
_cell_angle_alpha 135.29
_cell_angle_beta 135.29
_cell_angle_gamma 65.08
_symmetry_space_group_name_H-M 'P 1'
_symmetry_Int_Tables_number 1
loop_
_symmetry_equiv_pos_as_xyz
'x,y,z'
loop_
_atom_site_label
_atom_site_type_symbol
_atom_site_fract_x
_atom_site_fract_y
_atom_site_fract_z
Ir1 Ir 0.250 0.750 0.500
Ag1 Ag 0.000 0.000 0.000
Ag2 Ag 0.500 0.500 0.000
Pt1 Pt 0.750 0.250 0.500